No. 1
A plane-wave DFT calculation with PBE-GGA was carried out for a relaxed structure of YMg2CuAu4.

Cell: 4.6195 4.6195 24.7780 Å, 90.00 90.00 120.00°
Space group R-3m (No. 166, hexagonal axes)
Symmetry-distinct sites (fractional):
Y  0.0000  0.0000  0.0000 (multiplicity 3)
Mg  0.0000  0.0000  0.2400 (multiplicity 6)
Cu  0.0000  0.0000  0.5000 (multiplicity 3)
Au  0.0000  0.0000  0.1265 (multiplicity 6)
Au  0.0000  0.0000  0.3926 (multiplicity 6)

Output
D(E_F) = 8.6 states/eV/cell
Total magnetization = 0.0 μB per formula unit
DFT formation energy = -51.6 kJ/mol of atoms
Theoretical density = 10.8 g/cm³
Calculated total energy = -93.42 eV per cell

No. 2
A plane-wave DFT calculation with PBE-GGA was carried out for a relaxed structure of Te2Se.

Cell: 4.2078 4.2078 5.6963 Å, 90.00 90.00 120.00°
Space group P-3m1 (No. 164)
Symmetry-distinct sites (fractional):
Te  0.3333  0.6667  0.3350 (multiplicity 2)
Se  0.0000  0.0000  0.0000 (multiplicity 1)

Output
D(E_F) = 0.9 states/eV/cell
Total magnetization = 0.0 μB per formula unit
E above lowest polymorph = 3 meV per atom
Theoretical density = 6.4 g/cm³
Formation energy (no corrections) = 0.04 eV per atom
Calculated total energy = -9.64 eV per cell

No. 3
A plane-wave DFT calculation with PBE-GGA was carried out for a relaxed structure of UAg2PdS4.

Cell: 3.7576 12.9576 12.7738 Å, 90.00 90.00 90.00°
Space group Cmcm (No. 63)
Symmetry-distinct sites (fractional):
U  0.0000  0.1169  0.2500 (multiplicity 4)
Ag  0.0000  0.3771  0.0667 (multiplicity 8)
Pd  0.0000  0.1588  0.7500 (multiplicity 4)
S  0.0000  0.0000  0.0000 (multiplicity 4)
S  0.0000  0.2982  0.6218 (multiplicity 8)
S  0.0000  0.4698  0.2500 (multiplicity 4)

Output
D(E_F) = 24.4 states/eV/cell
Total magnetization = 1.3 μB per formula unit
Theoretical density = 7.4 g/cm³
Formation energy (no corrections) = -0.47 eV per atom
Calculated total energy = -169.89 eV per cell